The following is a DFT calculation (PBE-GGA) of crystalline YAlPd at its relaxed geometry.

Calculated values
**SG**: P-6m2
**Crystal system**: hexagonal
**Formation energy from the elements**: -790 meV per atom
**Total DFT energy (no corrections)**: -5.9230 eV per atom

a = 4.428 Å, b = 4.428 Å, c = 3.705 Å
α = 90.00°, β = 90.00°, γ = 120.00°
Sites, in units of the cell vectors:
Y  0.000  0.000  0.000
Al  0.333  0.667  0.500
Pd  0.667  0.333  0.500


The following is a DFT calculation (PBE-GGA) of crystalline Y4AlPd2 at its relaxed geometry.

Calculated values
**SG**: R-3m
**Crystal system**: trigonal
**Formation energy from the elements**: -514 meV per atom
**Total DFT energy (no corrections)**: -6.2262 eV per atom

a = 9.284 Å, b = 9.284 Å, c = 9.284 Å
α = 30.57°, β = 30.57°, γ = 30.57°
Sites, in units of the cell vectors:
Y  0.120  0.120  0.120
Y  0.294  0.294  0.294
Y  0.706  0.706  0.706
Y  0.880  0.880  0.880
Al  0.500  0.500  0.500
Pd  0.405  0.405  0.405
Pd  0.595  0.595  0.595


The following is a DFT calculation (PBE-GGA) of crystalline YAlPd2 at its relaxed geometry.

Calculated values
**SG**: P6_3/mmc
**Crystal system**: hexagonal
**Formation energy from the elements**: -939 meV per atom
**Total DFT energy (no corrections)**: -6.0866 eV per atom

a = 4.385 Å, b = 4.385 Å, c = 9.154 Å
α = 90.00°, β = 90.00°, γ = 120.00°
Sites, in units of the cell vectors:
Y  0.333  0.667  0.250
Y  0.667  0.333  0.750
Al  0.000  0.000  0.000
Al  0.000  0.000  0.500
Pd  0.333  0.667  0.578
Pd  0.333  0.667  0.922
Pd  0.667  0.333  0.078
Pd  0.667  0.333  0.422


The following is a DFT calculation (PBE-GGA) of crystalline YAl3Pd2 at its relaxed geometry.

Calculated values
**SG**: C2/m
**Crystal system**: monoclinic
**Formation energy from the elements**: -800 meV per atom
**Total DFT energy (no corrections)**: -5.4795 eV per atom

a = 8.577 Å, b = 8.577 Å, c = 10.014 Å
α = 107.63°, β = 107.63°, γ = 28.10°
Sites, in units of the cell vectors:
Y  0.000  0.000  0.000
Y  0.158  0.158  0.705
Y  0.842  0.842  0.295
Al  0.043  0.043  0.353
Al  0.215  0.215  0.390
Al  0.327  0.327  0.036
Al  0.373  0.373  0.801
Al  0.500  0.500  0.500
Al  0.627  0.627  0.199
Al  0.673  0.673  0.964
Al  0.785  0.785  0.610
Al  0.957  0.957  0.647
Pd  0.199  0.199  0.127
Pd  0.361  0.361  0.547
Pd  0.474  0.474  0.222
Pd  0.526  0.526  0.778
Pd  0.639  0.639  0.453
Pd  0.801  0.801  0.873


The following is a DFT calculation (PBE-GGA) of crystalline Y2AlPd at its relaxed geometry.

Calculated values
**SG**: P4/mmm
**Crystal system**: tetragonal
**Formation energy from the elements**: -644 meV per atom
**Total DFT energy (no corrections)**: -6.1097 eV per atom

a = 3.573 Å, b = 3.573 Å, c = 7.112 Å
α = 90.00°, β = 90.00°, γ = 90.00°
Sites, in units of the cell vectors:
Y  0.000  0.000  0.240
Y  0.000  0.000  0.760
Al  0.500  0.500  0.500
Pd  0.500  0.500  0.000


The following is a DFT calculation (PBE-GGA) of crystalline Y2Al3Pd4 at its relaxed geometry.

Calculated values
**SG**: Cmce
**Crystal system**: orthorhombic
**Formation energy from the elements**: -919 meV per atom
**Total DFT energy (no corrections)**: -5.9108 eV per atom

a = 8.147 Å, b = 8.147 Å, c = 7.661 Å
α = 90.00°, β = 90.00°, γ = 139.86°
Sites, in units of the cell vectors:
Y  0.108  0.892  0.913
Y  0.392  0.608  0.413
Y  0.608  0.392  0.587
Y  0.892  0.108  0.087
Al  0.000  0.000  0.500
Al  0.021  0.479  0.750
Al  0.479  0.021  0.250
Al  0.500  0.500  0.000
Al  0.521  0.979  0.750
Al  0.979  0.521  0.250
Pd  0.183  0.817  0.521
Pd  0.189  0.311  0.750
Pd  0.311  0.189  0.250
Pd  0.317  0.683  0.021
Pd  0.683  0.317  0.979
Pd  0.689  0.811  0.750
Pd  0.811  0.689  0.250
Pd  0.817  0.183  0.479